Version a
Compound: FeReO4
Source: Alexandria
Functional: PBE with a Hubbard U
Structure: relaxed

- Volume: 22.49 A^3/atom
- N(E_F): 0.679 states/eV/atom
- SG: I-4 (82)

Cell lengths 6.035, 6.035, 6.035 Å; angles 127.26, 127.26, 77.83 degrees
Fractional coordinates of all 6 atoms:
Fe 0.000 0.000 0.000
Re 0.750 0.250 0.500
O 0.395 0.255 0.378
O 0.745 0.123 0.140
O 0.877 0.017 0.622
O 0.983 0.605 0.860



Version b
Compound: FeReO4
Source: Alexandria
Functional: PBE with a Hubbard U
Structure: relaxed

- Volume: 14.42 A^3/atom
- N(E_F): 0.232 states/eV/atom
- SG: C2/c (15)

Cell lengths 6.626, 6.626, 5.577 Å; angles 90.42, 90.42, 44.97 degrees
Fractional coordinates of all 12 atoms:
Fe 0.011 0.989 0.750
Fe 0.989 0.011 0.250
Re 0.000 0.500 0.000
Re 0.500 0.000 0.500
O 0.051 0.753 0.002
O 0.247 0.949 0.498
O 0.276 0.277 0.251
O 0.277 0.276 0.751
O 0.723 0.724 0.249
O 0.724 0.723 0.749
O 0.753 0.051 0.502
O 0.949 0.247 0.998



Relative energies with respect to the most stable structure, expressed in meV/atom: version a 76; version b 0.



Version a
Compound: Fe3RhO
Source: Alexandria
Functional: PBE with a Hubbard U
Structure: relaxed

- Volume: 14.17 A^3/atom
- N(E_F): 0.286 states/eV/atom
- SG: Pm-3m (221)

Cell lengths 4.138, 4.138, 4.138 Å; angles 90.00, 90.00, 90.00 degrees
Fractional coordinates of all 5 atoms:
Fe 0.000 0.000 0.500
Fe 0.000 0.500 0.000
Fe 0.500 0.000 0.000
Rh 0.500 0.500 0.500
O 0.000 0.000 0.000



Version b
Compound: Fe3RhO
Source: Alexandria
Functional: PBE with a Hubbard U
Structure: relaxed

- Volume: 20.70 A^3/atom
- N(E_F): 0.741 states/eV/atom
- SG: Pm-3m (221)

Cell lengths 4.695, 4.695, 4.695 Å; angles 90.00, 90.00, 90.00 degrees
Fractional coordinates of all 5 atoms:
Fe 0.000 0.000 0.500
Fe 0.000 0.500 0.000
Fe 0.500 0.000 0.000
Rh 0.000 0.000 0.000
O 0.500 0.500 0.500



Relative energies with respect to the most stable structure, expressed in meV/atom: version a 0; version b 1535.



Version a
Compound: YFe2RhO
Source: Alexandria
Functional: PBE with a Hubbard U
Structure: relaxed

- Volume: 18.93 A^3/atom
- N(E_F): 0.534 states/eV/atom
- SG: P4/mmm (123)

Cell lengths 4.919, 4.919, 3.912 Å; angles 90.00, 90.00, 90.00 degrees
Fractional coordinates of all 5 atoms:
Y 0.000 0.000 0.000
Fe 0.000 0.500 0.500
Fe 0.500 0.000 0.500
Rh 0.500 0.500 0.500
O 0.500 0.500 0.000



Version b
Compound: YFe2RhO
Source: Alexandria
Functional: PBE with a Hubbard U
Structure: relaxed

- Volume: 24.03 A^3/atom
- N(E_F): 0.749 states/eV/atom
- SG: P4/mmm (123)

Cell lengths 5.476, 5.476, 4.007 Å; angles 90.00, 90.00, 90.00 degrees
Fractional coordinates of all 5 atoms:
Y 0.000 0.000 0.000
Fe 0.000 0.500 0.000
Fe 0.500 0.000 0.000
Rh 0.500 0.500 0.500
O 0.000 0.000 0.500



Relative energies with respect to the most stable structure, expressed in meV/atom: version a 0; version b 483.



Version a
Compound: FeRu3O
Source: Alexandria
Functional: PBE with a Hubbard U
Structure: relaxed

- Volume: 16.94 A^3/atom
- N(E_F): 1.345 states/eV/atom
- SG: Pm-3m (221)

Cell lengths 4.392, 4.392, 4.392 Å; angles 90.00, 90.00, 90.00 degrees
Fractional coordinates of all 5 atoms:
Fe 0.000 0.000 0.000
Ru 0.000 0.000 0.500
Ru 0.000 0.500 0.000
Ru 0.500 0.000 0.000
O 0.500 0.500 0.500



Version b
Compound: FeRu3O
Source: Alexandria
Functional: PBE with a Hubbard U
Structure: relaxed

- Volume: 13.23 A^3/atom
- N(E_F): 0.693 states/eV/atom
- SG: Pm-3m (221)

Cell lengths 4.045, 4.045, 4.045 Å; angles 90.00, 90.00, 90.00 degrees
Fractional coordinates of all 5 atoms:
Fe 0.000 0.000 0.000
Ru 0.000 0.500 0.500
Ru 0.500 0.000 0.500
Ru 0.500 0.500 0.000
O 0.500 0.500 0.500



Relative energies with respect to the most stable structure, expressed in meV/atom: version a 2146; version b 0.



Version a
Compound: FeSO7
Source: Alexandria
Functional: PBE with a Hubbard U
Structure: relaxed

- Volume: 13.32 A^3/atom
- N(E_F): 0.368 states/eV/atom
- SG: P2_1/m (11)

Cell lengths 4.626, 6.188, 8.430 Å; angles 90.00, 96.51, 90.00 degrees
Fractional coordinates of all 18 atoms:
Fe 0.000 0.000 0.000
Fe 0.000 0.500 0.000
S 0.497 0.250 0.214
S 0.503 0.750 0.786
O 0.114 0.250 0.904
O 0.154 0.152 0.582
O 0.154 0.348 0.582
O 0.268 0.750 0.900
O 0.315 0.050 0.179
O 0.315 0.450 0.179
O 0.379 0.750 0.622
O 0.621 0.250 0.378
O 0.685 0.550 0.821
O 0.685 0.950 0.821
O 0.732 0.250 0.100
O 0.846 0.652 0.418
O 0.846 0.848 0.418
O 0.886 0.750 0.096



Version b
Compound: FeSO7
Source: Alexandria
Functional: PBE with a Hubbard U
Structure: relaxed

- Volume: 15.83 A^3/atom
- N(E_F): 0.110 states/eV/atom
- SG: P2_1/m (11)

Cell lengths 6.468, 6.989, 6.886 Å; angles 90.00, 113.74, 90.00 degrees
Fractional coordinates of all 18 atoms:
Fe 0.000 0.000 0.000
Fe 0.000 0.500 0.000
S 0.263 0.250 0.394
S 0.737 0.750 0.606
O 0.014 0.750 0.081
O 0.112 0.073 0.291
O 0.112 0.427 0.291
O 0.297 0.250 0.614
O 0.408 0.539 0.975
O 0.408 0.961 0.975
O 0.459 0.250 0.345
O 0.541 0.750 0.655
O 0.592 0.039 0.025
O 0.592 0.461 0.025
O 0.703 0.750 0.386
O 0.888 0.573 0.709
O 0.888 0.927 0.709
O 0.986 0.250 0.919



Relative energies with respect to the most stable structure, expressed in meV/atom: version a 0; version b 87.



Version a
Compound: FeS2O8
Source: Alexandria
Functional: PBE with a Hubbard U
Structure: relaxed

- Volume: 14.20 A^3/atom
- N(E_F): 0.677 states/eV/atom
- SG: R3 (146)

Cell lengths 9.020, 9.020, 9.020 Å; angles 55.82, 55.82, 55.82 degrees
Fractional coordinates of all 33 atoms:
Fe 0.000 0.000 0.000
Fe 0.205 0.205 0.205
Fe 0.503 0.503 0.503
S 0.114 0.392 0.809
S 0.314 0.892 0.607
S 0.392 0.809 0.114
S 0.607 0.314 0.892
S 0.809 0.114 0.392
S 0.892 0.607 0.314
O 0.033 0.409 0.321
O 0.070 0.237 0.844
O 0.093 0.371 0.997
O 0.123 0.965 0.747
O 0.237 0.844 0.070
O 0.321 0.033 0.409
O 0.321 0.360 0.678
O 0.333 0.705 0.628
O 0.360 0.678 0.321
O 0.371 0.997 0.093
O 0.409 0.321 0.033
O 0.472 0.859 0.641
O 0.582 0.725 0.990
O 0.628 0.333 0.705
O 0.641 0.472 0.859
O 0.678 0.321 0.360
O 0.705 0.628 0.333
O 0.725 0.990 0.582
O 0.747 0.123 0.965
O 0.844 0.070 0.237
O 0.859 0.641 0.472
O 0.965 0.747 0.123
O 0.990 0.582 0.725
O 0.997 0.093 0.371



Version b
Compound: FeS2O8
Source: Alexandria
Functional: PBE with a Hubbard U
Structure: relaxed

- Volume: 16.00 A^3/atom
- N(E_F): 0.503 states/eV/atom
- SG: C2/m (12)

Cell lengths 6.143, 6.143, 4.696 Å; angles 94.29, 94.29, 87.18 degrees
Fractional coordinates of all 11 atoms:
Fe 0.000 0.000 0.000
S 0.211 0.211 0.645
S 0.789 0.789 0.355
O 0.008 0.735 0.218
O 0.170 0.170 0.331
O 0.265 0.992 0.782
O 0.370 0.370 0.721
O 0.630 0.630 0.279
O 0.735 0.008 0.218
O 0.830 0.830 0.669
O 0.992 0.265 0.782



Relative energies with respect to the most stable structure, expressed in meV/atom: version a 0; version b 49.



Version a
Compound: FeSb3O
Source: Alexandria
Functional: PBE with a Hubbard U
Structure: relaxed

- Volume: 24.85 A^3/atom
- N(E_F): 1.085 states/eV/atom
- SG: Pm-3m (221)

Cell lengths 4.990, 4.990, 4.990 Å; angles 90.00, 90.00, 90.00 degrees
Fractional coordinates of all 5 atoms:
Fe 0.000 0.000 0.000
Sb 0.000 0.000 0.500
Sb 0.000 0.500 0.000
Sb 0.500 0.000 0.000
O 0.500 0.500 0.500



Version b
Compound: FeSb3O
Source: Alexandria
Functional: PBE with a Hubbard U
Structure: relaxed

- Volume: 21.43 A^3/atom
- N(E_F): 1.083 states/eV/atom
- SG: Pm-3m (221)

Cell lengths 4.749, 4.749, 4.749 Å; angles 90.00, 90.00, 90.00 degrees
Fractional coordinates of all 5 atoms:
Fe 0.000 0.000 0.000
Sb 0.000 0.500 0.500
Sb 0.500 0.000 0.500
Sb 0.500 0.500 0.000
O 0.500 0.500 0.500



Relative energies with respect to the most stable structure, expressed in meV/atom: version a 576; version b 0.



Version a
Compound: Fe2SbO
Source: Alexandria
Functional: PBE with a Hubbard U
Structure: relaxed

- Volume: 15.42 A^3/atom
- N(E_F): 1.450 states/eV/atom
- SG: Fm-3m (225)

Cell lengths 4.435, 4.435, 4.435 Å; angles 60.00, 60.00, 60.00 degrees
Fractional coordinates of all 4 atoms:
Fe 0.250 0.250 0.250
Fe 0.750 0.750 0.750
Sb 0.000 0.000 0.000
O 0.500 0.500 0.500



Version b
Compound: Fe2SbO
Source: Alexandria
Functional: PBE with a Hubbard U
Structure: relaxed

- Volume: 18.66 A^3/atom
- N(E_F): 0.956 states/eV/atom
- SG: I-42d (122)

Cell lengths 6.763, 6.763, 6.763 Å; angles 135.61, 135.61, 64.58 degrees
Fractional coordinates of all 8 atoms:
Fe 0.375 0.228 0.353
Fe 0.772 0.125 0.147
Fe 0.875 0.022 0.647
Fe 0.978 0.625 0.853
Sb 0.250 0.750 0.500
Sb 0.500 0.500 0.000
O 0.000 0.000 0.000
O 0.750 0.250 0.500



Relative energies with respect to the most stable structure, expressed in meV/atom: version a 744; version b 0.



Version a
Compound: FeSb2O4
Source: Alexandria
Functional: PBE with a Hubbard U
Structure: relaxed

- Volume: 17.26 A^3/atom
- SG: P4_2/m (84)

Cell lengths 8.602, 8.602, 6.530 Å; angles 90.00, 90.00, 90.00 degrees
Fractional coordinates of all 28 atoms:
Fe 0.000 0.500 0.243
Fe 0.000 0.500 0.757
Fe 0.500 0.000 0.257
Fe 0.500 0.000 0.743
Sb 0.067 0.187 0.500
Sb 0.187 0.933 0.000
Sb 0.295 0.683 0.500
Sb 0.317 0.295 0.000
Sb 0.683 0.705 0.000
Sb 0.705 0.317 0.500
Sb 0.813 0.067 0.000
Sb 0.933 0.813 0.500
O 0.117 0.400 0.000
O 0.124 0.742 0.295
O 0.124 0.742 0.705
O 0.131 0.404 0.500
O 0.258 0.124 0.205
O 0.258 0.124 0.795
O 0.400 0.883 0.500
O 0.404 0.869 0.000
O 0.596 0.131 0.000
O 0.600 0.117 0.500
O 0.742 0.876 0.205
O 0.742 0.876 0.795
O 0.869 0.596 0.500
O 0.876 0.258 0.295
O 0.876 0.258 0.705
O 0.883 0.600 0.000



Version b
Compound: FeSb2O4
Source: Alexandria
Functional: PBE with a Hubbard U
Structure: relaxed

- Volume: 16.68 A^3/atom
- N(E_F): 0.000 states/eV/atom
- SG: P4_2/mbc (135)

Cell lengths 8.776, 8.776, 6.063 Å; angles 90.00, 90.00, 90.00 degrees
Fractional coordinates of all 28 atoms:
Fe 0.000 0.500 0.250
Fe 0.000 0.500 0.750
Fe 0.500 0.000 0.250
Fe 0.500 0.000 0.750
Sb 0.167 0.178 0.000
Sb 0.178 0.833 0.500
Sb 0.322 0.333 0.500
Sb 0.333 0.678 0.000
Sb 0.667 0.322 0.000
Sb 0.678 0.667 0.500
Sb 0.822 0.167 0.500
Sb 0.833 0.822 0.000
O 0.100 0.362 0.500
O 0.138 0.400 0.000
O 0.179 0.679 0.250
O 0.179 0.679 0.750
O 0.321 0.179 0.250
O 0.321 0.179 0.750
O 0.362 0.900 0.000
O 0.400 0.862 0.500
O 0.600 0.138 0.500
O 0.638 0.100 0.000
O 0.679 0.821 0.250
O 0.679 0.821 0.750
O 0.821 0.321 0.250
O 0.821 0.321 0.750
O 0.862 0.600 0.000
O 0.900 0.638 0.500



Relative energies with respect to the most stable structure, expressed in meV/atom: version a 100; version b 0.



Version a
Compound: VFeSbO6
Source: Alexandria
Functional: PBE with a Hubbard U
Structure: relaxed

- Volume: 11.08 A^3/atom
- N(E_F): 0.337 states/eV/atom
- SG: P-31c (163)

Cell lengths 5.099, 5.099, 8.854 Å; angles 90.00, 90.00, 120.00 degrees
Fractional coordinates of all 18 atoms:
V 0.333 0.667 0.250
V 0.667 0.333 0.750
Fe 0.000 0.000 0.000
Fe 0.000 0.000 0.500
Sb 0.333 0.667 0.750
Sb 0.667 0.333 0.250
O 0.007 0.345 0.130
O 0.007 0.663 0.370
O 0.337 0.345 0.370
O 0.337 0.993 0.130
O 0.345 0.007 0.630
O 0.345 0.337 0.870
O 0.655 0.663 0.130
O 0.655 0.993 0.370
O 0.663 0.007 0.870
O 0.663 0.655 0.630
O 0.993 0.337 0.630
O 0.993 0.655 0.870



Version b
Compound: VFeSbO6
Source: Alexandria
Functional: PBE with a Hubbard U
Structure: relaxed

- Volume: 11.07 A^3/atom
- N(E_F): 0.000 states/eV/atom
- SG: P4_2nm (102)

Cell lengths 4.635, 4.635, 9.276 Å; angles 90.00, 90.00, 90.00 degrees
Fractional coordinates of all 18 atoms:
V 0.000 0.000 0.000
V 0.500 0.500 0.500
Fe 0.000 0.000 0.667
Fe 0.500 0.500 0.167
Sb 0.000 0.000 0.333
Sb 0.500 0.500 0.833
O 0.192 0.192 0.163
O 0.194 0.194 0.835
O 0.202 0.202 0.497
O 0.298 0.702 0.997
O 0.306 0.694 0.335
O 0.308 0.692 0.663
O 0.692 0.308 0.663
O 0.694 0.306 0.335
O 0.702 0.298 0.997
O 0.798 0.798 0.497
O 0.806 0.806 0.835
O 0.808 0.808 0.163



Relative energies with respect to the most stable structure, expressed in meV/atom: version a 142; version b 0.